Record 1
{
  "formula": "La2ScAu",
  "functional": "PBE",
  "state": "optimized geometry",
  "density_g_cm3": 7.7,
  "polymorph_energy_ev_per_atom": 0.1307,
  "delta_e_f_kj_per_mol_atoms": -23,
  "space_group": "No. 71",
  "dos_at_fermi_per_ev_cell": 11.76,
  "lattice": [[3.920, 0.000, 0.000], [0.000, 5.309, 0.000], [0.000, 0.000, 10.735]],
  "species": ["La", "La", "La", "La", "Sc", "Sc", "Au", "Au"],
  "frac_coords": [[0.000, 0.000, 0.224], [0.000, 0.000, 0.776], [0.500, 0.500, 0.276], [0.500, 0.500, 0.724], [0.000, 0.500, 0.000], [0.500, 0.000, 0.500], [0.000, 0.500, 0.500], [0.500, 0.000, 0.000]]
}

Record 2
{
  "formula": "LaScAu2",
  "functional": "PBE",
  "state": "optimized geometry",
  "density_g_cm3": 10.4,
  "delta_e_f_kj_per_mol_atoms": -75,
  "space_group": "No. 47",
  "dos_at_fermi_per_ev_cell": 3.75,
  "lattice": [[3.495, 0.000, 0.000], [0.000, 3.506, 0.000], [0.000, 0.000, 7.494]],
  "species": ["La", "Sc", "Au", "Au"],
  "frac_coords": [[0.000, 0.000, 0.000], [0.000, 0.000, 0.500], [0.500, 0.500, 0.294], [0.500, 0.500, 0.706]]
}

Record 3
{
  "formula": "LaScAu2",
  "functional": "PBE",
  "state": "optimized geometry",
  "density_g_cm3": 11.2,
  "delta_e_f_kj_per_mol_atoms": -51,
  "space_group": "No. 216",
  "dos_at_fermi_per_ev_cell": 1.22,
  "lattice": [[6.995, 0.000, 0.000], [0.000, 6.995, 0.000], [0.000, 0.000, 6.995]],
  "species": ["La", "La", "La", "La", "Sc", "Sc", "Sc", "Sc", "Au", "Au", "Au", "Au", "Au", "Au", "Au", "Au"],
  "frac_coords": [[0.000, 0.000, 0.000], [0.000, 0.500, 0.500], [0.500, 0.000, 0.500], [0.500, 0.500, 0.000], [0.250, 0.250, 0.750], [0.250, 0.750, 0.250], [0.750, 0.250, 0.250], [0.750, 0.750, 0.750], [0.000, 0.000, 0.500], [0.000, 0.500, 0.000], [0.250, 0.250, 0.250], [0.250, 0.750, 0.750], [0.500, 0.000, 0.000], [0.500, 0.500, 0.500], [0.750, 0.250, 0.750], [0.750, 0.750, 0.250]]
}